# 1
{"formula": "ScMoAu2", "functional": "PBE", "state": "optimized geometry", "e_form_ev_per_fu": 0.1, "de_polymorph_mev_per_atom": 173, "space_group": "No. 216", "lattice": [[0.000, 3.311, 3.311], [3.311, 0.000, 3.311], [3.311, 3.311, 0.000]], "species": ["Sc", "Mo", "Au", "Au"], "fractional_positions": [[0.000, 0.000, 0.000], [0.750, 0.750, 0.750], [0.250, 0.250, 0.250], [0.500, 0.500, 0.500]]}



# 2
{"formula": "PmNd4Ho3", "functional": "PBE", "state": "optimized geometry", "e_form_ev_per_fu": 0.2, "de_polymorph_mev_per_atom": 12, "space_group": "No. 31", "lattice": [[11.649, 0.000, 0.000], [0.000, 7.341, 0.000], [0.000, 0.000, 6.332]], "species": ["Pm", "Pm", "Nd", "Nd", "Nd", "Nd", "Nd", "Nd", "Nd", "Nd", "Ho", "Ho", "Ho", "Ho", "Ho", "Ho"], "fractional_positions": [[0.000, 0.124, 0.000], [0.500, 0.876, 0.500], [0.000, 0.371, 0.502], [0.000, 0.629, 0.994], [0.247, 0.626, 0.333], [0.253, 0.374, 0.833], [0.500, 0.371, 0.494], [0.500, 0.629, 0.002], [0.747, 0.374, 0.833], [0.753, 0.626, 0.333], [0.000, 0.879, 0.498], [0.250, 0.121, 0.331], [0.250, 0.879, 0.831], [0.500, 0.121, 0.998], [0.750, 0.121, 0.331], [0.750, 0.879, 0.831]]}



# 3
{"formula": "Nd6Ho12In", "functional": "PBE", "state": "optimized geometry", "e_form_ev_per_fu": 1.3, "space_group": "No. 148", "lattice": [[5.962, 3.442, 4.984], [-5.962, 3.442, 4.984], [0.000, -6.885, 4.984]], "species": ["Nd", "Nd", "Nd", "Nd", "Nd", "Nd", "Ho", "Ho", "Ho", "Ho", "Ho", "Ho", "Ho", "Ho", "Ho", "Ho", "Ho", "Ho", "In"], "fractional_positions": [[0.195, 0.760, 0.592], [0.240, 0.408, 0.805], [0.408, 0.805, 0.240], [0.592, 0.195, 0.760], [0.760, 0.592, 0.195], [0.805, 0.240, 0.408], [0.039, 0.936, 0.277], [0.064, 0.723, 0.961], [0.142, 0.487, 0.311], [0.277, 0.039, 0.936], [0.311, 0.142, 0.487], [0.487, 0.311, 0.142], [0.513, 0.689, 0.858], [0.689, 0.858, 0.513], [0.723, 0.961, 0.064], [0.858, 0.513, 0.689], [0.936, 0.277, 0.039], [0.961, 0.064, 0.723], [0.500, 0.500, 0.500]]}



# 4
{"formula": "Al2CuBr2", "functional": "PBE", "state": "optimized geometry", "de_polymorph_mev_per_atom": 212, "e_form_raw_ev_per_atom": 0.39, "space_group": "No. 127", "lattice": [[8.695, 0.000, 0.000], [0.000, 8.695, 0.000], [0.000, 0.000, 3.440]], "species": ["Al", "Al", "Al", "Al", "Cu", "Cu", "Br", "Br", "Br", "Br"], "fractional_positions": [[0.207, 0.293, 0.000], [0.293, 0.793, 0.000], [0.707, 0.207, 0.000], [0.793, 0.707, 0.000], [0.000, 0.000, 0.500], [0.500, 0.500, 0.500], [0.134, 0.634, 0.500], [0.366, 0.134, 0.500], [0.634, 0.866, 0.500], [0.866, 0.366, 0.500]]}



# 5
{"formula": "Tb3Cu4Si4", "functional": "PBE", "state": "optimized geometry", "e_form_raw_ev_per_atom": -0.64, "space_group": "No. 71", "lattice": [[-2.079, 3.278, 6.885], [2.079, -3.278, 6.885], [2.079, 3.278, -6.885]], "species": ["Tb", "Tb", "Tb", "Cu", "Cu", "Cu", "Cu", "Si", "Si", "Si", "Si"], "fractional_positions": [[0.000, 0.000, 0.000], [0.370, 0.870, 0.500], [0.630, 0.130, 0.500], [0.022, 0.332, 0.690], [0.358, 0.668, 0.690], [0.642, 0.332, 0.310], [0.978, 0.668, 0.310], [0.216, 0.216, 0.000], [0.316, 0.500, 0.816], [0.684, 0.500, 0.184], [0.784, 0.784, 0.000]]}



# 6
{"formula": "Re2SiSbBr", "functional": "PBE", "state": "optimized geometry", "e_form_raw_ev_per_atom": 2.15, "space_group": "No. 123", "lattice": [[4.645, 0.000, 0.000], [0.000, 4.645, 0.000], [0.000, 0.000, 4.896]], "species": ["Re", "Re", "Si", "Sb", "Br"], "fractional_positions": [[0.000, 0.500, 0.000], [0.500, 0.000, 0.000], [0.000, 0.000, 0.500], [0.500, 0.500, 0.500], [0.000, 0.000, 0.000]]}



# 7
{"formula": "Sr2MgP3Rh12", "functional": "PBE", "state": "optimized geometry", "e_form_ev_per_fu": -2.0, "space_group": "No. 166", "lattice": [[4.463, 2.577, 4.310], [-4.463, 2.577, 4.310], [0.000, -5.154, 4.310]], "species": ["Sr", "Sr", "Mg", "P", "P", "P", "Rh", "Rh", "Rh", "Rh", "Rh", "Rh", "Rh", "Rh", "Rh", "Rh", "Rh", "Rh"], "fractional_positions": [[0.116, 0.116, 0.116], [0.884, 0.884, 0.884], [0.500, 0.500, 0.500], [0.000, 0.500, 0.500], [0.500, 0.000, 0.500], [0.500, 0.500, 0.000], [0.142, 0.142, 0.578], [0.142, 0.578, 0.142], [0.174, 0.671, 0.671], [0.329, 0.329, 0.826], [0.329, 0.826, 0.329], [0.422, 0.858, 0.858], [0.578, 0.142, 0.142], [0.671, 0.174, 0.671], [0.671, 0.671, 0.174], [0.826, 0.329, 0.329], [0.858, 0.422, 0.858], [0.858, 0.858, 0.422]]}



# 8
{"formula": "PuTaZn4", "functional": "PBE", "state": "optimized geometry", "e_form_ev_per_fu": 0.2, "space_group": "No. 216", "lattice": [[0.000, 3.709, 3.709], [3.709, 0.000, 3.709], [3.709, 3.709, 0.000]], "species": ["Pu", "Ta", "Zn", "Zn", "Zn", "Zn"], "fractional_positions": [[0.000, 0.000, 0.000], [0.750, 0.750, 0.750], [0.376, 0.376, 0.376], [0.376, 0.376, 0.871], [0.376, 0.871, 0.376], [0.871, 0.376, 0.376]]}



# 9
{"formula": "TlGeBi2", "functional": "PBE", "state": "optimized geometry", "e_form_ev_per_fu": 1.0, "space_group": "No. 122", "lattice": [[-3.454, 3.454, 6.675], [3.454, -3.454, 6.675], [3.454, 3.454, -6.675]], "species": ["Tl", "Tl", "Ge", "Ge", "Bi", "Bi", "Bi", "Bi"], "fractional_positions": [[0.000, 0.000, 0.000], [0.750, 0.250, 0.500], [0.250, 0.750, 0.500], [0.500, 0.500, 0.000], [0.157, 0.625, 0.032], [0.375, 0.407, 0.532], [0.593, 0.125, 0.968], [0.875, 0.843, 0.468]]}



# 10
{"formula": "Nd5ScSe6", "functional": "PBE", "state": "optimized geometry", "e_form_raw_ev_per_atom": -1.78, "space_group": "No. 12", "lattice": [[3.609, -6.267, 0.000], [3.609, 6.267, 0.000], [-2.417, 0.000, 6.829]], "species": ["Nd", "Nd", "Nd", "Nd", "Nd", "Sc", "Se", "Se", "Se", "Se", "Se", "Se"], "fractional_positions": [[0.000, 0.000, 0.000], [0.166, 0.834, 0.500], [0.324, 0.676, 0.000], [0.676, 0.324, 0.000], [0.834, 0.166, 0.500], [0.500, 0.500, 0.500], [0.106, 0.422, 0.263], [0.266, 0.266, 0.746], [0.422, 0.106, 0.263], [0.578, 0.894, 0.737], [0.734, 0.734, 0.254], [0.894, 0.578, 0.737]]}



# 11
{"formula": "Sm2Hg7", "functional": "PBE", "state": "optimized geometry", "e_form_ev_per_fu": -2.7, "space_group": "No. 164", "lattice": [[5.181, 0.000, 0.000], [-2.591, 4.487, 0.000], [0.000, 0.000, 9.581]], "species": ["Sm", "Sm", "Hg", "Hg", "Hg", "Hg", "Hg", "Hg", "Hg"], "fractional_positions": [[0.333, 0.667, 0.272], [0.667, 0.333, 0.728], [0.000, 0.000, 0.161], [0.000, 0.000, 0.500], [0.000, 0.000, 0.839], [0.333, 0.667, 0.604], [0.333, 0.667, 0.930], [0.667, 0.333, 0.070], [0.667, 0.333, 0.396]]}



# 12
{"formula": "BaMgNi2", "functional": "PBE", "state": "optimized geometry", "e_form_ev_per_fu": 0.3, "space_group": "No. 6", "lattice": [[4.078, 0.000, 0.000], [0.000, 3.995, 0.000], [-2.038, 0.000, 5.740]], "species": ["Ba", "Mg", "Ni", "Ni"], "fractional_positions": [[0.000, 0.000, 0.000], [0.269, 0.500, 0.540], [0.629, 0.500, 0.260], [0.725, 0.000, 0.452]]}



Uncorrected energy for every record listed, in sequence, given in eV/atom: -5.9098, -4.6656, -4.4733, -2.5962, -5.3627, -5.0771, -6.1919, -5.1852, -3.4434, -6.0384, -1.5822, -3.7020.